[1]
{"formula": "U2AsS2", "functional": "PBE", "state": "optimized geometry", "rho_g_cm3": 7.3, "spacegroup": "R-3m", "e_form_raw_mev_per_atom": -1097.0, "lattice_angstrom": [[4.020, 0.001, -0.009], [2.009, 3.482, -0.009], [2.029, 1.172, 9.926]], "species": ["As", "S", "U", "U", "S"], "frac_coords": [[0.000, 0.500, 0.000], [0.229, 0.729, 0.314], [0.393, 0.893, 0.822], [0.607, 0.107, 0.178], [0.771, 0.271, 0.686]]}

=====

[2]
{"formula": "U2As2S7", "functional": "PBE", "state": "optimized geometry", "rho_g_cm3": 5.9, "spacegroup": "Imm2", "e_form_raw_mev_per_atom": -713.7, "lattice_angstrom": [[3.736, 0.000, 0.000], [1.868, 8.707, 0.256], [1.868, 4.354, 7.545]], "species": ["S", "As", "S", "S", "S", "U", "S", "As", "S", "S", "U"], "frac_coords": [[0.599, 0.533, 0.269], [0.230, 0.271, 0.270], [0.500, 0.028, 0.972], [0.401, 0.731, 0.467], [0.190, 0.707, 0.913], [0.500, 0.366, 0.634], [0.875, 0.424, 0.826], [0.770, 0.730, 0.729], [0.125, 0.174, 0.576], [0.810, 0.087, 0.293], [0.000, 0.802, 0.198]]}

=====

[3]
{"formula": "U2AsS", "functional": "PBE", "state": "optimized geometry", "rho_g_cm3": 10.6, "spacegroup": "R3m", "e_form_raw_mev_per_atom": -887.3, "lattice_angstrom": [[-2.141, 2.972, 1.009], [-3.110, -0.531, 2.116], [2.227, 1.626, 7.092]], "species": ["S", "U", "U", "As"], "frac_coords": [[0.499, 0.499, 0.503], [0.083, 0.083, 0.750], [0.250, 0.250, 0.250], [0.668, 0.668, 0.997]]}

=====

[4]
{"formula": "VAsS2", "functional": "PBE", "state": "optimized geometry", "rho_g_cm3": 4.5, "spacegroup": "R-3m", "e_form_raw_mev_per_atom": -470.2, "lattice_angstrom": [[1.839, 0.000, 8.059], [-0.920, 1.593, 8.059], [-0.920, -1.593, 8.059]], "species": ["As", "S", "S", "V"], "frac_coords": [[0.000, 0.000, 0.000], [0.106, 0.106, 0.106], [0.894, 0.894, 0.894], [0.500, 0.500, 0.500]]}

=====

[5]
{"formula": "V4AsS2", "functional": "PBE", "state": "optimized geometry", "rho_g_cm3": 4.5, "spacegroup": "I4/mmm", "e_form_raw_mev_per_atom": 278.8, "lattice_angstrom": [[-2.908, 2.947, 1.860], [-3.014, -3.343, 0.585], [-0.572, -1.373, 6.819]], "species": ["V", "V", "S", "S", "V", "V", "As"], "frac_coords": [[0.500, 0.000, 0.000], [0.798, 0.798, 0.404], [0.386, 0.386, 0.227], [0.614, 0.614, 0.773], [0.202, 0.202, 0.596], [0.000, 0.500, 0.000], [0.000, 0.000, 0.000]]}

=====

[6]
{"formula": "V4AsS", "functional": "PBE", "state": "optimized geometry", "rho_g_cm3": 5.9, "spacegroup": "C2/c", "e_form_raw_mev_per_atom": -239.3, "lattice_angstrom": [[-3.020, 3.879, -1.657], [-3.883, -1.383, 3.833], [5.586, 2.276, 3.276]], "species": ["V", "V", "S", "V", "V", "V", "V", "V", "As", "S", "As", "V"], "frac_coords": [[0.947, 0.912, 0.625], [0.322, 0.589, 0.375], [0.500, 0.000, 0.500], [0.506, 0.040, 0.835], [0.671, 0.461, 0.165], [0.678, 0.411, 0.625], [0.329, 0.539, 0.835], [0.053, 0.088, 0.375], [0.850, 0.750, 0.000], [0.000, 0.500, 0.500], [0.150, 0.250, 0.000], [0.494, 0.960, 0.165]]}

=====

[7]
{"formula": "V2As2S", "functional": "PBE", "state": "optimized geometry", "rho_g_cm3": 6.2, "spacegroup": "P4/mbm", "e_form_raw_mev_per_atom": -281.9, "lattice_angstrom": [[6.758, 0.000, 0.000], [0.000, 6.758, 0.000], [0.000, 0.000, 3.330]], "species": ["As", "As", "V", "As", "V", "S", "As", "V", "S", "V"], "frac_coords": [[0.361, 0.139, 0.500], [0.639, 0.861, 0.500], [0.654, 0.154, 0.000], [0.861, 0.361, 0.500], [0.154, 0.346, 0.000], [0.500, 0.500, 0.000], [0.139, 0.639, 0.500], [0.846, 0.654, 0.000], [0.000, 0.000, 0.000], [0.346, 0.846, 0.000]]}

=====

[8]
{"formula": "VAs2S2", "functional": "PBE", "state": "optimized geometry", "rho_g_cm3": 4.5, "spacegroup": "P4/mbm", "e_form_raw_mev_per_atom": 48.7, "lattice_angstrom": [[-1.144, -4.959, 3.510], [5.380, -2.486, -1.760], [2.322, 2.244, 3.928]], "species": ["As", "As", "S", "V", "As", "S", "As", "S", "V", "S"], "frac_coords": [[0.723, 0.223, 0.500], [0.777, 0.723, 0.500], [0.667, 0.167, 0.000], [0.500, 0.500, 0.000], [0.223, 0.277, 0.500], [0.333, 0.833, 0.000], [0.277, 0.777, 0.500], [0.167, 0.333, 0.000], [0.000, 0.000, 0.000], [0.833, 0.667, 0.000]]}

=====

[9]
{"formula": "V2AsS", "functional": "PBE", "state": "optimized geometry", "rho_g_cm3": 4.0, "spacegroup": "I-42d", "e_form_raw_mev_per_atom": -239.0, "lattice_angstrom": [[-5.193, -1.184, -1.703], [-1.049, -2.462, 4.909], [-4.881, 2.976, 3.634]], "species": ["S", "V", "V", "As", "V", "As", "V", "S"], "frac_coords": [[0.500, 0.500, 0.000], [0.875, 0.857, 0.750], [0.143, 0.625, 0.250], [0.750, 0.250, 0.500], [0.607, 0.125, 0.250], [0.000, 0.000, 0.000], [0.375, 0.393, 0.750], [0.250, 0.750, 0.500]]}

=====

[10]
{"formula": "V7As2S2", "functional": "PBE", "state": "optimized geometry", "rho_g_cm3": 6.0, "spacegroup": "C2/m", "e_form_raw_mev_per_atom": -277.0, "lattice_angstrom": [[5.257, -0.245, -0.280], [-0.666, 5.507, 0.815], [-0.666, 0.075, 5.567]], "species": ["S", "V", "V", "As", "V", "As", "V", "V", "V", "S", "V"], "frac_coords": [[0.558, 0.722, 0.722], [0.500, 0.000, 0.000], [0.767, 0.439, 0.031], [0.000, 0.807, 0.193], [0.225, 0.481, 0.481], [0.000, 0.193, 0.807], [0.767, 0.031, 0.439], [0.233, 0.561, 0.969], [0.233, 0.969, 0.561], [0.442, 0.278, 0.278], [0.775, 0.519, 0.519]]}

=====

[11]
{"formula": "V4As2S", "functional": "PBE", "state": "optimized geometry", "rho_g_cm3": 5.6, "spacegroup": "I4/mmm", "e_form_raw_mev_per_atom": -44.7, "lattice_angstrom": [[-1.846, 3.464, 1.531], [-2.690, 0.000, -3.243], [-6.366, -1.955, 2.544]], "species": ["V", "S", "As", "V", "V", "As", "V"], "frac_coords": [[0.824, 0.824, 0.351], [0.000, 0.000, 0.000], [0.635, 0.635, 0.730], [0.176, 0.176, 0.649], [0.500, 0.000, 0.000], [0.365, 0.365, 0.270], [0.000, 0.500, 0.000]]}

=====

[12]
{"formula": "VAsS2", "functional": "PBE", "state": "optimized geometry", "rho_g_cm3": 3.6, "spacegroup": "I-42d", "e_form_raw_mev_per_atom": -13.0, "lattice_angstrom": [[-2.038, 4.984, 2.912], [-5.695, -2.238, -0.155], [-3.159, -0.709, 5.437]], "species": ["V", "S", "V", "As", "S", "As", "S", "S"], "frac_coords": [[0.500, 0.500, 0.000], [0.375, 0.420, 0.750], [0.250, 0.750, 0.500], [0.000, 0.000, 0.000], [0.580, 0.125, 0.250], [0.750, 0.250, 0.500], [0.875, 0.830, 0.750], [0.170, 0.625, 0.250]]}

=====

[13]
{"formula": "VAsS", "functional": "PBE", "state": "optimized geometry", "rho_g_cm3": 4.7, "spacegroup": "P4/mmm", "e_form_raw_mev_per_atom": -177.6, "lattice_angstrom": [[3.263, 0.001, 0.000], [-0.001, 3.264, 0.000], [0.000, 0.000, 5.187]], "species": ["V", "S", "As"], "frac_coords": [[0.090, 0.772, 0.000], [0.590, 0.273, 0.000], [0.091, 0.772, 0.500]]}

=====

[14]
{"formula": "V2As2S", "functional": "PBE", "state": "optimized geometry", "rho_g_cm3": 5.3, "spacegroup": "Pnma", "e_form_raw_mev_per_atom": -331.0, "lattice_angstrom": [[4.979, 0.000, 0.000], [0.000, 6.689, 0.000], [0.000, 0.000, 10.633]], "species": ["V", "V", "S", "V", "S", "V", "As", "V", "V", "S", "V", "As", "V", "As", "As", "As", "As", "As", "S", "As"], "frac_coords": [[0.750, 0.399, 0.762], [0.750, 0.847, 0.089], [0.750, 0.166, 0.600], [0.250, 0.101, 0.262], [0.250, 0.334, 0.100], [0.250, 0.653, 0.589], [0.750, 0.594, 0.246], [0.250, 0.601, 0.238], [0.750, 0.899, 0.738], [0.250, 0.834, 0.400], [0.250, 0.153, 0.911], [0.250, 0.906, 0.746], [0.750, 0.347, 0.411], [0.250, 0.406, 0.754], [0.750, 0.651, 0.564], [0.250, 0.849, 0.064], [0.250, 0.349, 0.436], [0.750, 0.094, 0.254], [0.750, 0.666, 0.900], [0.750, 0.151, 0.936]]}

=====

[15]
{"formula": "VAs2S2", "functional": "PBE", "state": "optimized geometry", "rho_g_cm3": 4.2, "spacegroup": "I4/mmm", "e_form_raw_mev_per_atom": 199.0, "lattice_angstrom": [[3.510, 0.000, 0.000], [0.000, 3.510, 0.000], [1.755, 1.755, 8.577]], "species": ["S", "As", "V", "As", "S"], "frac_coords": [[0.436, 0.436, 0.128], [0.250, 0.750, 0.500], [0.000, 0.000, 0.000], [0.750, 0.250, 0.500], [0.564, 0.564, 0.872]]}

=====

[16]
{"formula": "V3AsS", "functional": "PBE", "state": "optimized geometry", "rho_g_cm3": 5.5, "spacegroup": "C2/m", "e_form_raw_mev_per_atom": -353.5, "lattice_angstrom": [[-1.838, -2.080, 1.689], [5.428, -2.822, 2.431], [1.036, 5.621, 4.922]], "species": ["V", "As", "V", "V", "As", "V", "S", "S", "V", "V"], "frac_coords": [[0.816, 0.519, 0.632], [0.865, 0.892, 0.730], [0.037, 0.823, 0.075], [0.963, 0.177, 0.925], [0.135, 0.108, 0.270], [0.184, 0.481, 0.368], [0.586, 0.611, 0.171], [0.414, 0.389, 0.829], [0.298, 0.154, 0.596], [0.702, 0.846, 0.404]]}

=====

[17]
{"formula": "VAsS2", "functional": "PBE", "state": "optimized geometry", "rho_g_cm3": 3.6, "spacegroup": "R-3m", "e_form_raw_mev_per_atom": 261.4, "lattice_angstrom": [[-2.188, 7.470, 0.929], [-2.086, 6.189, 4.335], [0.982, 7.289, 2.712]], "species": ["S", "As", "S", "V"], "frac_coords": [[0.102, 0.102, 0.102], [0.500, 0.500, 0.500], [0.898, 0.898, 0.898], [0.000, 0.000, 0.000]]}

=====

[18]
{"formula": "V3AsS", "functional": "PBE", "state": "optimized geometry", "rho_g_cm3": 5.5, "spacegroup": "Pm-3m", "e_form_raw_mev_per_atom": 96.3, "lattice_angstrom": [[-1.808, 3.180, -2.206], [-0.451, -2.592, -3.366], [-3.844, -1.192, 1.433]], "species": ["As", "V", "V", "S", "V"], "frac_coords": [[0.500, 0.500, 0.500], [0.500, 0.000, 0.000], [0.000, 0.000, 0.500], [0.000, 0.000, 0.000], [0.000, 0.500, 0.000]]}

=====

[19]
{"formula": "V2AsS", "functional": "PBE", "state": "optimized geometry", "rho_g_cm3": 6.3, "spacegroup": "Fm-3m", "e_form_raw_mev_per_atom": -303.0, "lattice_angstrom": [[0.000, 3.014, 3.014], [3.014, 0.000, 3.014], [3.014, 3.014, 0.000]], "species": ["S", "V", "V", "As"], "frac_coords": [[0.000, 0.000, 0.000], [0.750, 0.750, 0.750], [0.250, 0.250, 0.250], [0.500, 0.500, 0.500]]}

=====

[20]
{"formula": "VAsS", "functional": "PBE", "state": "optimized geometry", "rho_g_cm3": 4.8, "spacegroup": "I4mm", "e_form_raw_mev_per_atom": -407.2, "lattice_angstrom": [[2.893, 0.000, 0.000], [0.000, 2.893, 0.000], [-1.446, -1.446, 6.483]], "species": ["As", "V", "S"], "frac_coords": [[0.296, 0.296, 0.592], [0.650, 0.650, 0.300], [0.054, 0.054, 0.108]]}

=====

[21]
{"formula": "V2AsS", "functional": "PBE", "state": "optimized geometry", "rho_g_cm3": 4.2, "spacegroup": "R-3m", "e_form_raw_mev_per_atom": -206.8, "lattice_angstrom": [[-2.041, -1.337, -3.248], [-2.942, -2.766, 0.447], [-5.570, 2.903, -0.235]], "species": ["V", "As", "V", "S"], "frac_coords": [[0.125, 0.125, 0.626], [0.500, 0.500, 0.500], [0.875, 0.875, 0.374], [0.000, 0.000, 0.000]]}

=====

[22]
{"formula": "V2AsS", "functional": "PBE", "state": "optimized geometry", "rho_g_cm3": 6.0, "spacegroup": "R3m", "e_form_raw_mev_per_atom": -525.8, "lattice_angstrom": [[-1.462, -0.894, -2.702], [-1.230, -2.942, -0.255], [-6.558, 0.884, 1.362]], "species": ["V", "V", "S", "As"], "frac_coords": [[0.091, 0.091, 0.727], [0.242, 0.242, 0.275], [0.501, 0.501, 0.498], [0.666, 0.666, 0.001]]}

=====

[23]
{"formula": "VAsS3", "functional": "PBE", "state": "optimized geometry", "rho_g_cm3": 3.6, "spacegroup": "Pm-3m", "e_form_raw_mev_per_atom": 594.2, "lattice_angstrom": [[-3.368, 2.983, 1.335], [-1.521, -3.128, 3.151], [2.893, 1.829, 3.211]], "species": ["S", "S", "S", "As", "V"], "frac_coords": [[0.000, 0.000, 0.500], [0.000, 0.500, 0.000], [0.500, 0.000, 0.000], [0.000, 0.000, 0.000], [0.500, 0.500, 0.500]]}

=====

[24]
{"formula": "VAsS3", "functional": "PBE", "state": "optimized geometry", "rho_g_cm3": 3.5, "spacegroup": "C2/c", "e_form_raw_mev_per_atom": -431.8, "lattice_angstrom": [[5.758, -0.498, -0.494], [0.475, 8.579, 1.279], [0.475, 1.342, 8.569]], "species": ["As", "As", "S", "V", "S", "V", "S", "S", "S", "S", "S", "As", "V", "S", "V", "S", "S", "As", "S", "S"], "frac_coords": [[0.706, 0.732, 0.920], [0.206, 0.920, 0.732], [0.440, 0.004, 0.186], [0.250, 0.440, 0.560], [0.060, 0.814, 0.996], [0.750, 0.560, 0.440], [0.560, 0.996, 0.814], [0.060, 0.476, 0.312], [0.553, 0.614, 0.168], [0.940, 0.524, 0.688], [0.440, 0.688, 0.524], [0.794, 0.080, 0.268], [0.750, 0.278, 0.722], [0.560, 0.312, 0.476], [0.250, 0.722, 0.278], [0.447, 0.386, 0.832], [0.947, 0.832, 0.386], [0.294, 0.268, 0.080], [0.053, 0.168, 0.614], [0.940, 0.186, 0.004]]}

=====

[25]
{"formula": "VAs2S4", "functional": "PBE", "state": "optimized geometry", "rho_g_cm3": 3.7, "spacegroup": "I4/mmm", "e_form_raw_mev_per_atom": 50.5, "lattice_angstrom": [[-0.681, 0.011, 4.896], [4.379, -2.209, 0.614], [4.505, 4.265, 3.112]], "species": ["As", "S", "As", "S", "V", "S", "S"], "frac_coords": [[0.375, 0.375, 0.251], [0.200, 0.200, 0.600], [0.625, 0.625, 0.749], [0.000, 0.500, 0.000], [0.000, 0.000, 0.000], [0.500, 0.000, 0.000], [0.800, 0.800, 0.400]]}